[1]
# ReOsN2O GGA-PBEsol optimized geometry
data_ReOsN2O
_cell_length_a 3.9110
_cell_length_b 3.9110
_cell_length_c 3.7458
_cell_angle_alpha 90.00
_cell_angle_beta 90.00
_cell_angle_gamma 90.00
_space_group_name_H-M_alt 'P 4/m m m'
_space_group_IT_number 123
_space_group_name_Hall '-P 4 2'
loop_
_atom_site_label
_atom_site_type_symbol
_atom_site_fract_x
_atom_site_fract_y
_atom_site_fract_z
Re1 Re 0.0000 0.0000 0.0000
Os1 Os 0.5000 0.5000 0.5000
N1 N 0.0000 0.5000 0.0000
O1 O 0.0000 0.0000 0.5000
# - total DFT energy (no corrections) (eV per cell) = -42.56
# - size of the total moment (Bohr magnetons per cell) = 2.92


[2]
# Ba5Mg GGA-PBEsol optimized geometry
data_Ba5Mg
_cell_length_a 4.3462
_cell_length_b 4.3462
_cell_length_c 16.6817
_cell_angle_alpha 90.00
_cell_angle_beta 90.00
_cell_angle_gamma 90.00
_space_group_name_H-M_alt 'P 4/m m m'
_space_group_IT_number 123
_space_group_name_Hall '-P 4 2'
loop_
_atom_site_label
_atom_site_type_symbol
_atom_site_fract_x
_atom_site_fract_y
_atom_site_fract_z
Ba1 Ba 0.0000 0.0000 0.0000
Ba2 Ba 0.0000 0.0000 0.3782
Ba3 Ba 0.5000 0.5000 0.1875
Mg1 Mg 0.5000 0.5000 0.5000
# - size of the total moment (Bohr magnetons per cell) = 0.01
# - ΔH_f (0 K) (meV/atom) = -0.3
# - energy relative to the lowest polymorph listed for this composition (eV/atom) = 0.000